[1]
The following is a DFT calculation (PBE) of an optimized crystal structure of TcTeO4.

Cell lengths 5.815, 5.815, 5.815 Å; angles 108.78, 108.78, 110.85 degrees
Positions (direct):
O 0.729 0.019 0.290
Te 0.012 0.512 0.500
O 0.729 0.438 0.710
O 0.188 0.979 0.210
O 0.769 0.979 0.790
O 0.259 0.572 0.313
Tc 0.512 0.012 0.500
O 0.259 0.946 0.687
Tc 0.762 0.762 0.000
O 0.322 0.509 0.813
O 0.696 0.509 0.187
Te 0.262 0.262 0.000

Computed properties:
Crystal system   tetragonal
E_tot   -6.610 eV per atom
Formation energy (no corrections)   -1.05 eV/atom

---

[2]
The following is a DFT calculation (PBE) of an optimized crystal structure of TcTe3O.

Cell lengths 5.136, 5.136, 5.136 Å; angles 90.00, 90.00, 90.00 degrees
Positions (direct):
Te 0.500 0.000 0.000
O 0.500 0.500 0.500
Te 0.000 0.000 0.500
Te 0.000 0.500 0.000
Tc 0.000 0.000 0.000

Computed properties:
Crystal system   cubic
E_tot   -4.047 eV per atom
Excess energy over the best structure of this formula in the dataset   1.12 eV/f.u.
Formation energy (no corrections)   0.90 eV/atom

---

[3]
The following is a DFT calculation (PBE) of an optimized crystal structure of Tc3TeO.

Cell lengths 4.980, 4.980, 4.980 Å; angles 90.00, 90.00, 90.00 degrees
Last column: magnetic moment on the atom in μB.
Positions (direct):
Tc 0.000 0.500 0.000  2.10
Tc 0.500 0.000 0.000  2.09
Te 0.000 0.000 0.000  -0.09
O 0.500 0.500 0.500  0.89
Tc 0.000 0.000 0.500  2.32

Computed properties:
Crystal system   cubic
E_tot   -5.452 eV per atom
Formation energy (no corrections)   2.39 eV/atom

---

Calculated N(E_F) (states/eV/atom), listed in the same order as above: 0.406; 1.638; 1.490
Calculated magnetization (μB/f.u.), listed in the same order as above: 0.0; 0.0; 8.3
Calculated calculated density (g cm⁻³), listed in the same order as above: 6.36; 6.09; 5.88